# Th2Al5Pd3, relaxed, DFT GGA-PBE
data_Th2Al5Pd3
_cell_length_a 10.4956
_cell_length_b 12.4174
_cell_length_c 5.9874
_cell_angle_alpha 90.00
_cell_angle_beta 90.00
_cell_angle_gamma 90.00
_space_group_name_H-M_alt 'I b a m'
_space_group_IT_number 72
_space_group_name_Hall '-I 2 2c'
loop_
_atom_site_label
_atom_site_fract_x
_atom_site_fract_y
_atom_site_fract_z
Th1 0.2310 0.1359 0.0000
Al1 0.0000 0.0000 0.2500
Al2 0.0000 0.2757 0.2500
Al3 0.1540 0.3976 0.0000
Pd1 0.0000 0.5000 0.2500
Pd2 0.1112 0.1363 0.5000
# DOS at the Fermi energy in states/eV/f.u.: 6.83
# Energy of formation from the pure elements in meV per atom: -771.5